(1)
Material: Be3AsIr
Method: DFT, PBE
State: relaxed

Results
* DOS at the Fermi energy: 0.0000 states/eV/atom
* total DFT energy (no corrections): -20.0 eV/cell
* SG: Pm-3m (221)
* magnetic moment: 0.00 μB per atom
* energy relative to the elements: 934 meV per atom

Lattice parameters (Å, degrees): 4.1239 4.1239 4.1239 90.00 90.00 90.00
Fractional positions:
Be: 0.0000 0.0000 0.5000
Be: 0.0000 0.5000 0.0000
Be: 0.5000 0.0000 0.0000
As: 0.0000 0.0000 0.0000
Ir: 0.5000 0.5000 0.5000

(2)
Material: BeAsIr
Method: DFT, PBE
State: relaxed

Results
* DOS at the Fermi energy: 0.4459 states/eV/atom
* total DFT energy (no corrections): -17.2 eV/cell
* SG: P3m1 (156)
* magnetic moment: 0.00 μB per atom
* energy relative to the elements: 25 meV per atom

Lattice parameters (Å, degrees): 2.9116 2.9116 5.6142 90.00 90.00 120.00
Fractional positions:
Be: 0.0000 0.0000 0.0000
As: 0.3333 0.6667 0.6523
Ir: 0.6667 0.3333 0.2958

(3)
Material: Be3AsIr
Method: DFT, PBE
State: relaxed

Results
* DOS at the Fermi energy: 0.4377 states/eV/atom
* total DFT energy (no corrections): -22.3 eV/cell
* SG: Pm-3m (221)
* magnetic moment: 0.00 μB per atom
* energy relative to the elements: 472 meV per atom

Lattice parameters (Å, degrees): 4.2446 4.2446 4.2446 90.00 90.00 90.00
Fractional positions:
Be: 0.0000 0.0000 0.5000
Be: 0.0000 0.5000 0.0000
Be: 0.5000 0.0000 0.0000
As: 0.5000 0.5000 0.5000
Ir: 0.0000 0.0000 0.0000

(4)
Material: Be2AsIr
Method: DFT, PBE
State: relaxed

Results
* DOS at the Fermi energy: 0.2178 states/eV/atom
* total DFT energy (no corrections): -21.1 eV/cell
* SG: Cmmm (65)
* magnetic moment: 0.00 μB per atom
* energy relative to the elements: -43 meV per atom

Lattice parameters (Å, degrees): 4.2206 4.2206 2.8341 90.00 90.00 106.81
Fractional positions:
Be: 0.0000 0.5000 0.0000
Be: 0.5000 0.0000 0.0000
As: 0.0000 0.0000 0.5000
Ir: 0.5000 0.5000 0.5000